Entry 1:
GeSbBrO2 after structural relaxation. Source: the Alexandria database, functional PBE-GGA.

N(E_F), states/eV per atom: 0.46
Mass density, g/cm3: 5.4
E_tot, eV/atom: -3.452
Space-group type: P4/mmm (123)

Cell: 4.0454 4.0454 5.7073 Å, 90.00 90.00 90.00°
Fractional coordinates of all 5 atoms:
Ge (0.0000, 0.0000, 0.0000)
Sb (0.5000, 0.5000, 0.0000)
Br (0.5000, 0.5000, 0.5000)
O (0.0000, 0.5000, 0.5000)
O (0.5000, 0.0000, 0.5000)

=====

Entry 2:
ZrSb2Pt after structural relaxation. Source: the Alexandria database, functional PBE-GGA.

N(E_F), states/eV per atom: 0.70
Mass density, g/cm3: 9.1
E_tot, eV/atom: -6.039
Space-group type: R3m (160)

Cell: 7.9687 7.9687 7.9687 Å, 27.72 27.72 27.72°
Fractional coordinates of all 4 atoms:
Zr (0.0000, 0.0000, 0.0000)
Sb (0.2412, 0.2412, 0.2412)
Sb (0.4755, 0.4755, 0.4755)
Pt (0.7354, 0.7354, 0.7354)

=====

Entry 3:
Rb2Sr2B after structural relaxation. Source: the Alexandria database, functional PBE-GGA.

N(E_F), states/eV per atom: 0.54
Calculated formation energy, kJ/mol of formula units: 480.6
Mass density, g/cm3: 2.3
Energy relative to the lowest polymorph listed for this composition, meV per atom: 0
Space-group type: P4/mbm (127)

Cell: 8.3884 8.3884 7.3029 Å, 90.00 90.00 90.00°
Fractional coordinates of all 10 atoms:
Rb (0.1598, 0.3402, 0.0000)
Rb (0.3402, 0.8402, 0.0000)
Rb (0.6598, 0.1598, 0.0000)
Rb (0.8402, 0.6598, 0.0000)
Sr (0.1829, 0.6829, 0.5000)
Sr (0.3171, 0.1829, 0.5000)
Sr (0.6829, 0.8171, 0.5000)
Sr (0.8171, 0.3171, 0.5000)
B (0.0000, 0.0000, 0.0000)
B (0.5000, 0.5000, 0.0000)

=====

Entry 4:
NbRhPb3 after structural relaxation. Source: the Alexandria database, functional PBE-GGA.

N(E_F), states/eV per atom: 1.99
Calculated formation energy, kJ/mol of formula units: 517.0
Mass density, g/cm3: 8.4
Energy relative to the lowest polymorph listed for this composition, meV per atom: 112
Space-group type: Pm-3m (221)

Cell: 5.4425 5.4425 5.4425 Å, 90.00 90.00 90.00°
Fractional coordinates of all 5 atoms:
Nb (0.0000, 0.0000, 0.0000)
Rh (0.5000, 0.5000, 0.5000)
Pb (0.0000, 0.0000, 0.5000)
Pb (0.0000, 0.5000, 0.0000)
Pb (0.5000, 0.0000, 0.0000)